(1)
Below is a relaxed SrLaEu2 crystal, with properties calculated at the PBE level.

## Properties
The polymorph energy (0 for the lowest one) is 40.2 meV per atom. The total energy comes out at -6.6894 eV per atom. The crystal system is tetragonal. The value obtained for the magnetization is 14.89 μB/cell. Its energy of formation from the pure elements is 0.10 eV per atom. Its mass density is 5.11 g/cm3.

a = 6.315 Å, b = 6.315 Å, c = 4.321 Å
α = 90.00°, β = 90.00°, γ = 90.00°
Space group P4/mmm (No. 123)
One atom of each set of equivalent atoms:
Sr 0.000 0.000 0.000 (multiplicity 1)
La 0.500 0.500 0.000 (multiplicity 1)
Eu 0.000 0.500 0.500 (multiplicity 2)

(2)
Below is a relaxed SrLaTbEu crystal, with properties calculated at the PBE level.

## Properties
The polymorph energy (0 for the lowest one) is 0.0 meV per atom. The total energy comes out at -5.1950 eV per atom. The crystal system is cubic. The value obtained for the magnetization is 30.65 μB/cell. Its energy of formation from the pure elements is 0.18 eV per atom. Its mass density is 5.59 g/cm3.

a = 8.611 Å, b = 8.611 Å, c = 8.611 Å
α = 90.00°, β = 90.00°, γ = 90.00°
Space group F-43m (No. 216)
One atom of each set of equivalent atoms:
Sr 0.000 0.000 0.000 (multiplicity 4)
La 0.000 0.000 0.500 (multiplicity 4)
Tb 0.250 0.250 0.250 (multiplicity 4)
Eu 0.250 0.250 0.750 (multiplicity 4)

(3)
Below is a relaxed LaTb2Eu crystal, with properties calculated at the PBE level.

## Properties
The polymorph energy (0 for the lowest one) is 0.0 meV per atom. The total energy comes out at -6.0638 eV per atom. The crystal system is trigonal. The value obtained for the magnetization is 23.15 μB/cell. Its energy of formation from the pure elements is 0.05 eV per atom. Its mass density is 7.24 g/cm3.

a = 3.6735 Å, b = 3.6735 Å, c = 35.8574 Å
α = 90.00°, β = 90.00°, γ = 120.00°
Space group R-3m (No. 166, hexagonal axes)
One atom of each set of equivalent atoms:
La 0.0000 0.0000 0.0000 (multiplicity 3)
Tb 0.0000 0.0000 0.2520 (multiplicity 6)
Eu 0.0000 0.0000 0.5000 (multiplicity 3)

(4)
Below is a relaxed LaTbEu crystal, with properties calculated at the PBE level.

## Properties
The polymorph energy (0 for the lowest one) is 0.0 meV per atom. The total energy comes out at -6.5691 eV per atom. The crystal system is trigonal. The value obtained for the magnetization is 7.44 μB/cell. Its energy of formation from the pure elements is 0.04 eV per atom. Its mass density is 6.85 g/cm3.

a = 3.7124 Å, b = 3.7124 Å, c = 9.1384 Å
α = 90.00°, β = 90.00°, γ = 120.00°
Space group P3m1 (No. 156)
One atom of each set of equivalent atoms:
La 0.0000 0.0000 0.0000 (multiplicity 1)
Tb 0.3333 0.6667 0.6852 (multiplicity 1)
Eu 0.6667 0.3333 0.3511 (multiplicity 1)

(5)
Below is a relaxed LaTbEu2 crystal, with properties calculated at the PBE level.

## Properties
The polymorph energy (0 for the lowest one) is 5.6 meV per atom. The total energy comes out at -7.4169 eV per atom. The crystal system is tetragonal. The value obtained for the magnetization is 15.11 μB/cell. Its energy of formation from the pure elements is 0.11 eV per atom. Its mass density is 6.71 g/cm3.

a = 5.257 Å, b = 5.257 Å, c = 5.392 Å
α = 90.00°, β = 90.00°, γ = 90.00°
Space group P4/mmm (No. 123)
One atom of each set of equivalent atoms:
La 0.000 0.000 0.000 (multiplicity 1)
Tb 0.500 0.500 0.000 (multiplicity 1)
Eu 0.000 0.500 0.500 (multiplicity 2)

(6)
Below is a relaxed LaTbEu2 crystal, with properties calculated at the PBE level.

## Properties
The polymorph energy (0 for the lowest one) is 0.0 meV per atom. The total energy comes out at -7.4226 eV per atom. The crystal system is tetragonal. The value obtained for the magnetization is 15.11 μB/cell. Its energy of formation from the pure elements is 0.10 eV per atom. Its mass density is 6.72 g/cm3.

a = 3.730 Å, b = 3.730 Å, c = 10.686 Å
α = 90.00°, β = 90.00°, γ = 90.00°
Space group P4/mmm (No. 123)
One atom of each set of equivalent atoms:
La 0.000 0.000 0.000 (multiplicity 1)
Tb 0.000 0.000 0.500 (multiplicity 1)
Eu 0.500 0.500 0.257 (multiplicity 2)

(7)
Below is a relaxed LaTbEu2 crystal, with properties calculated at the PBE level.

## Properties
The polymorph energy (0 for the lowest one) is 36.2 meV per atom. The total energy comes out at -7.3864 eV per atom. The crystal system is cubic. The value obtained for the magnetization is 58.58 μB/cell. Its energy of formation from the pure elements is 0.14 eV per atom. Its mass density is 6.69 g/cm3.

a = 8.422 Å, b = 8.422 Å, c = 8.422 Å
α = 90.00°, β = 90.00°, γ = 90.00°
Space group Fm-3m (No. 225)
One atom of each set of equivalent atoms:
La 0.000 0.000 0.000 (multiplicity 4)
Tb 0.000 0.000 0.500 (multiplicity 4)
Eu 0.250 0.250 0.250 (multiplicity 8)

(8)
Below is a relaxed LaTbEu crystal, with properties calculated at the PBE level.

## Properties
The polymorph energy (0 for the lowest one) is 2.8 meV per atom. The total energy comes out at -6.5663 eV per atom. The crystal system is tetragonal. The value obtained for the magnetization is 14.62 μB/cell. Its energy of formation from the pure elements is 0.04 eV per atom. Its mass density is 6.80 g/cm3.

a = 3.740 Å, b = 3.740 Å, c = 15.699 Å
α = 90.00°, β = 90.00°, γ = 90.00°
Space group I4mm (No. 107)
One atom of each set of equivalent atoms:
La 0.000 0.000 0.000 (multiplicity 2)
Tb 0.000 0.000 0.653 (multiplicity 2)
Eu 0.000 0.000 0.322 (multiplicity 2)

(9)
Below is a relaxed LaTb2Eu crystal, with properties calculated at the PBE level.

## Properties
The polymorph energy (0 for the lowest one) is 35.8 meV per atom. The total energy comes out at -6.0280 eV per atom. The crystal system is tetragonal. The value obtained for the magnetization is 7.24 μB/cell. Its energy of formation from the pure elements is 0.09 eV per atom. Its mass density is 7.23 g/cm3.

a = 5.187 Å, b = 5.187 Å, c = 5.199 Å
α = 90.00°, β = 90.00°, γ = 90.00°
Space group P4/mmm (No. 123)
One atom of each set of equivalent atoms:
La 0.000 0.000 0.000 (multiplicity 1)
Tb 0.000 0.500 0.500 (multiplicity 2)
Eu 0.500 0.500 0.000 (multiplicity 1)

(10)
Below is a relaxed LaTb2Eu crystal, with properties calculated at the PBE level.

## Properties
The polymorph energy (0 for the lowest one) is 13.1 meV per atom. The total energy comes out at -6.0507 eV per atom. The crystal system is tetragonal. The value obtained for the magnetization is 7.70 μB/cell. Its energy of formation from the pure elements is 0.06 eV per atom. Its mass density is 7.17 g/cm3.

a = 3.699 Å, b = 3.699 Å, c = 10.303 Å
α = 90.00°, β = 90.00°, γ = 90.00°
Space group P4/mmm (No. 123)
One atom of each set of equivalent atoms:
La 0.000 0.000 0.000 (multiplicity 1)
Tb 0.500 0.500 0.240 (multiplicity 2)
Eu 0.000 0.000 0.500 (multiplicity 1)

(11)
Below is a relaxed La2TbEu crystal, with properties calculated at the PBE level.

## Properties
The polymorph energy (0 for the lowest one) is 0.0 meV per atom. The total energy comes out at -6.1515 eV per atom. The crystal system is tetragonal. The value obtained for the magnetization is 7.35 μB/cell. Its energy of formation from the pure elements is 0.04 eV per atom. Its mass density is 6.65 g/cm3.

a = 3.742 Å, b = 3.742 Å, c = 10.502 Å
α = 90.00°, β = 90.00°, γ = 90.00°
Space group P4/mmm (No. 123)
One atom of each set of equivalent atoms:
La 0.000 0.000 0.235 (multiplicity 2)
Tb 0.500 0.500 0.000 (multiplicity 1)
Eu 0.500 0.500 0.500 (multiplicity 1)

(12)
Below is a relaxed LaTb2Eu crystal, with properties calculated at the PBE level.

## Properties
The polymorph energy (0 for the lowest one) is 101.5 meV per atom. The total energy comes out at -5.9623 eV per atom. The crystal system is cubic. The value obtained for the magnetization is 28.82 μB/cell. Its energy of formation from the pure elements is 0.15 eV per atom. Its mass density is 7.15 g/cm3.

a = 8.268 Å, b = 8.268 Å, c = 8.268 Å
α = 90.00°, β = 90.00°, γ = 90.00°
Space group Fm-3m (No. 225)
One atom of each set of equivalent atoms:
La 0.000 0.000 0.000 (multiplicity 4)
Tb 0.250 0.250 0.250 (multiplicity 8)
Eu 0.000 0.000 0.500 (multiplicity 4)

- Which value of magnetization does entry 3 give?
  23.15 μB/cell

What did the tenth record say?
Below is a relaxed LaTb2Eu crystal, with properties calculated at the PBE level.

## Properties
The polymorph energy (0 for the lowest one) is 13.1 meV per atom. The total energy comes out at -6.0507 eV per atom. The crystal system is tetragonal. The value obtained for the magnetization is 7.70 μB/cell. Its energy of formation from the pure elements is 0.06 eV per atom. Its mass density is 7.17 g/cm3.

a = 3.699 Å, b = 3.699 Å, c = 10.303 Å
α = 90.00°, β = 90.00°, γ = 90.00°
Space group P4/mmm (No. 123)
One atom of each set of equivalent atoms:
La 0.000 0.000 0.000 (multiplicity 1)
Tb 0.500 0.500 0.240 (multiplicity 2)
Eu 0.000 0.000 0.500 (multiplicity 1)